VASP calculation (GGA-PBE) on a relaxed Mn2TlIn crystal.

a = 3.063 Å, b = 4.905 Å, c = 5.071 Å
α = 90.00°, β = 90.00°, γ = 90.00°
Space group Pmm2 (No. 25)
Inequivalent atoms, fractional coordinates:
Mn: 0.000 0.000 0.000
Mn: 0.000 0.500 0.352
Tl: 0.500 0.500 0.868
In: 0.500 0.000 0.474

Values from the calculation:
Formation enthalpy at 0 K (kJ/mol of atoms): 39.61
Total moment (μB/f.u.): 7.19
N(E_F) (states/eV/cell): 3.5